BeFePO2 | PBE with a Hubbard U | relaxed

Unit cell a=3.598 b=3.598 c=5.137 alpha=90.00 beta=90.00 gamma=90.00
Atoms (fractional coordinates):
Be (0.000, 0.000, 0.000)
Fe (0.500, 0.500, 0.500)
P (0.500, 0.500, 0.000)
O (0.000, 0.500, 0.500)
O (0.500, 0.000, 0.500)

Properties
distance to the lowest polymorph of the same formula	19.3	kJ per mole of atoms
symmetry	P4/mmm (123)